Record 1
## NiAg2W (PBE)

Data for an optimized crystal structure of NiAg2W.

Cell lengths 4.4454, 4.4454, 4.4454 Å; angles 60.00, 60.00, 60.00 degrees
Last column: nearest neighbours and their distance in Å.
Element x y z (fractional)
Ni (0.0000, 0.0000, 0.0000)  8 Ag 2.72
Ag (0.2500, 0.2500, 0.2500)  4 W 2.72, 4 Ni 2.72
Ag (0.7500, 0.7500, 0.7500)  4 W 2.72, 4 Ni 2.72
W (0.5000, 0.5000, 0.5000)  8 Ag 2.72

* polymorph energy (0 for the lowest one): 570.3 meV per atom
* calculated total energy: -5.282 eV per atom
* calculated formation energy: 828 meV per atom

---

Record 2
## Ni2AgW (PBE)

Data for an optimized crystal structure of Ni2AgW.

Cell lengths 5.2735, 5.2735, 5.2735 Å; angles 150.24, 129.91, 59.36 degrees
Last column: nearest neighbours and their distance in Å.
Element x y z (fractional)
Ni (0.0000, 0.0000, 0.0000)  4 Ni 2.44-2.71, 2 W 2.53, 4 Ag 2.62
Ni (0.7779, 0.2779, 0.5000)  4 Ni 2.44-2.71, 4 W 2.64
Ag (0.5173, 0.5173, 0.0000)  6 Ni 2.62-2.75, 2 Ag 2.71
W (0.2333, 0.7333, 0.5000)  6 Ni 2.53-2.64, 2 W 2.71

* polymorph energy (0 for the lowest one): 220.6 meV per atom
* calculated total energy: -6.515 eV per atom
* calculated formation energy: 327 meV per atom

---

Record 3
## Ni2AgW (PBE)

Data for an optimized crystal structure of Ni2AgW.

Cell lengths 4.4458, 4.4458, 5.0391 Å; angles 97.80, 97.80, 34.99 degrees
Last column: nearest neighbours and their distance in Å.
Element x y z (fractional)
Ni (0.2472, 0.2472, 0.2178)  3 W 2.54-2.59, 4 Ni 2.58-2.67, 3 Ag 2.70-2.75
Ni (0.7528, 0.7528, 0.7822)  3 W 2.54-2.59, 4 Ni 2.58-2.67, 3 Ag 2.70-2.75
Ag (0.0000, 0.0000, 0.5000)  2 Ag 2.67, 6 Ni 2.70-2.75, 4 W 2.85
W (0.5000, 0.5000, 0.0000)  6 Ni 2.54-2.59, 2 W 2.67

* polymorph energy (0 for the lowest one): 213.5 meV per atom
* calculated total energy: -6.522 eV per atom
* calculated formation energy: 319 meV per atom

---

Record 4
## NiAg2W (PBE)

Data for an optimized crystal structure of NiAg2W.

Cell lengths 4.9435, 4.9435, 4.9435 Å; angles 133.84, 133.84, 67.33 degrees
Last column: nearest neighbours and their distance in Å.
Element x y z (fractional)
Ni (0.0000, 0.0000, 0.0000)  4 W 2.74, 8 Ag 2.83
Ag (0.2500, 0.7500, 0.5000)  4 Ag 2.74, 4 W 2.83, 4 Ni 2.83
Ag (0.7500, 0.2500, 0.5000)  4 Ag 2.74, 4 W 2.83, 4 Ni 2.83
W (0.5000, 0.5000, 0.0000)  4 Ni 2.74, 8 Ag 2.83

* polymorph energy (0 for the lowest one): 484.6 meV per atom
* calculated total energy: -5.367 eV per atom
* calculated formation energy: 742 meV per atom

---

Record 5
## Y2Ni2Ag (PBE)

Data for an optimized crystal structure of Y2Ni2Ag.

Cell lengths 7.9187, 7.9187, 3.2928 Å; angles 90.00, 90.00, 90.00 degrees
Last column: nearest neighbours and their distance in Å.
Element x y z (fractional)
Y (0.1588, 0.3412, 0.0000)  6 Ni 2.82-2.90, 2 Ag 2.98
Y (0.3412, 0.8412, 0.0000)  6 Ni 2.82-2.90, 2 Ag 2.98
Y (0.6588, 0.1588, 0.0000)  6 Ni 2.82-2.90, 2 Ag 2.98
Y (0.8412, 0.6588, 0.0000)  6 Ni 2.82-2.90, 2 Ag 2.98
Ni (0.1279, 0.6279, 0.5000)  6 Y 2.82-2.90, 1 Ni 2.86
Ni (0.3721, 0.1279, 0.5000)  6 Y 2.82-2.90, 1 Ni 2.86
Ni (0.6279, 0.8721, 0.5000)  6 Y 2.82-2.90, 1 Ni 2.86
Ni (0.8721, 0.3721, 0.5000)  6 Y 2.82-2.90, 1 Ni 2.86
Ag (0.0000, 0.0000, 0.0000)  4 Y 2.98, 2 Ag 3.29
Ag (0.5000, 0.5000, 0.0000)  4 Y 2.98, 2 Ag 3.29

* polymorph energy (0 for the lowest one): 332.9 meV per atom
* calculated total energy: -5.544 eV per atom
* calculated formation energy: -75 meV per atom

---

Record 6
## YNiAg2 (PBE)

Data for an optimized crystal structure of YNiAg2.

Cell lengths 5.4206, 5.4206, 5.4206 Å; angles 136.83, 136.54, 62.92 degrees
Last column: nearest neighbours and their distance in Å.
Element x y z (fractional)
Y (0.0000, 0.0000, 0.0000)  4 Ni 2.83, 8 Ag 3.06
Ni (0.5000, 0.5000, 0.0000)  4 Y 2.83, 8 Ag 3.05-3.07
Ag (0.2509, 0.7509, 0.5000)  4 Ag 2.83, 4 Ni 3.05-3.07, 4 Y 3.06
Ag (0.7491, 0.2491, 0.5000)  4 Ag 2.83, 4 Ni 3.05-3.07, 4 Y 3.06

* calculated total energy: -4.667 eV per atom
* calculated formation energy: -180 meV per atom

---

Record 7
## YNiAg (PBE)

Data for an optimized crystal structure of YNiAg.

Cell lengths 5.5460, 5.5460, 5.1797 Å; angles 117.64, 117.64, 59.21 degrees
Last column: nearest neighbours and their distance in Å.
Element x y z (fractional)
Y (0.1286, 0.1286, 0.3785)  3 Ni 2.74-2.84
Y (0.8714, 0.8714, 0.6215)  3 Ni 2.74-2.84
Ni (0.4651, 0.4651, 0.7159)  2 Ni 2.65-2.66, 2 Ag 2.70, 3 Y 2.74-2.84
Ni (0.5349, 0.5349, 0.2841)  2 Ni 2.65-2.66, 2 Ag 2.70, 3 Y 2.74-2.84
Ag (0.0000, 0.5000, 0.0000)  2 Ni 2.70, 2 Ag 2.74
Ag (0.5000, 0.0000, 0.0000)  2 Ni 2.70, 2 Ag 2.74

* calculated total energy: -5.083 eV per atom
* calculated formation energy: -51 meV per atom

---

Record 8
## Y5NiAg4 (PBE)

Data for an optimized crystal structure of Y5NiAg4.

Cell lengths 3.5764, 3.5764, 18.2564 Å; angles 90.00, 90.00, 90.00 degrees
Last column: nearest neighbours and their distance in Å.
Element x y z (fractional)
Y (0.0000, 0.0000, 0.0000)  8 Ag 3.15
Y (0.0000, 0.0000, 0.2055)  8 Ag 3.14-3.15
Y (0.0000, 0.0000, 0.4113)  4 Ni 3.00, 4 Ag 3.17, 1 Y 3.24
Y (0.0000, 0.0000, 0.5887)  4 Ni 3.00, 4 Ag 3.17, 1 Y 3.24
Y (0.0000, 0.0000, 0.7945)  8 Ag 3.14-3.15
Ni (0.5000, 0.5000, 0.5000)  8 Y 3.00
Ag (0.5000, 0.5000, 0.1026)  8 Y 3.15
Ag (0.5000, 0.5000, 0.3070)  8 Y 3.14-3.17
Ag (0.5000, 0.5000, 0.6930)  8 Y 3.14-3.17
Ag (0.5000, 0.5000, 0.8974)  8 Y 3.15

* calculated total energy: -5.284 eV per atom
* calculated formation energy: -334 meV per atom

---

Record 9
## YNi2Ag2 (PBE)

Data for an optimized crystal structure of YNi2Ag2.

Cell lengths 6.8833, 6.8833, 3.6396 Å; angles 90.00, 90.00, 90.00 degrees
Last column: nearest neighbours and their distance in Å.
Element x y z (fractional)
Y (0.0000, 0.0000, 0.0000)  4 Ni 2.72
Y (0.5000, 0.5000, 0.0000)  4 Ni 2.72
Ni (0.1250, 0.3750, 0.0000)  1 Ni 2.43, 4 Ag 2.71, 2 Y 2.72
Ni (0.3750, 0.8750, 0.0000)  1 Ni 2.43, 4 Ag 2.71, 2 Y 2.72
Ni (0.6250, 0.1250, 0.0000)  1 Ni 2.43, 4 Ag 2.71, 2 Y 2.72
Ni (0.8750, 0.6250, 0.0000)  1 Ni 2.43, 4 Ag 2.71, 2 Y 2.72
Ag (0.1642, 0.6642, 0.5000)  6 Ni 2.71-2.74
Ag (0.3358, 0.1642, 0.5000)  6 Ni 2.71-2.74
Ag (0.6642, 0.8358, 0.5000)  6 Ni 2.71-2.74
Ag (0.8358, 0.3358, 0.5000)  6 Ni 2.71-2.74

* polymorph energy (0 for the lowest one): 103.8 meV per atom
* calculated total energy: -4.764 eV per atom
* calculated formation energy: -18 meV per atom

---

Record 10
## YNiAg (PBE)

Data for an optimized crystal structure of YNiAg.

Cell lengths 8.4835, 8.4835, 3.8634 Å; angles 90.00, 90.00, 155.13 degrees
Last column: nearest neighbours and their distance in Å.
Element x y z (fractional)
Y (0.1014, 0.8986, 0.7500)  6 Ni 2.84-2.98, 1 Ag 3.16
Y (0.8986, 0.1014, 0.2500)  6 Ni 2.84-2.98, 1 Ag 3.16
Ni (0.4592, 0.5408, 0.7500)  2 Ni 2.36
Ni (0.5408, 0.4592, 0.2500)  2 Ni 2.36
Ag (0.2921, 0.7079, 0.7500)  1 Ni 2.77, 4 Ag 3.00
Ag (0.7079, 0.2921, 0.2500)  1 Ni 2.77, 4 Ag 3.00

* calculated total energy: -5.409 eV per atom
* calculated formation energy: -376 meV per atom

---

Record 11
## YNiAg2 (PBE)

Data for an optimized crystal structure of YNiAg2.

Cell lengths 3.7049, 3.9145, 5.7448 Å; angles 90.00, 108.79, 90.00 degrees
Last column: nearest neighbours and their distance in Å.
Element x y z (fractional)
Y (0.0000, 0.0000, 0.0000)  4 Ni 2.81, 3 Ag 2.96-3.10
Ni (0.4270, 0.5000, 0.8528)  3 Ag 2.58-2.74, 4 Y 2.81
Ag (0.2715, 0.0000, 0.5446)  2 Ni 2.58, 4 Ag 2.88
Ag (0.6776, 0.5000, 0.3569)  1 Ni 2.74, 4 Ag 2.88

* calculated total energy: -4.608 eV per atom
* calculated formation energy: -121 meV per atom

---

Record 12
## Y2Ni2Ag (PBE)

Data for an optimized crystal structure of Y2Ni2Ag.

Cell lengths 7.3361, 7.3361, 3.6519 Å; angles 90.00, 90.00, 90.00 degrees
Last column: nearest neighbours and their distance in Å.
Element x y z (fractional)
Y (0.1772, 0.3228, 0.0000)  6 Ni 2.80-2.86
Y (0.3228, 0.8228, 0.0000)  6 Ni 2.80-2.86
Y (0.6772, 0.1772, 0.0000)  6 Ni 2.80-2.86
Y (0.8228, 0.6772, 0.0000)  6 Ni 2.80-2.86
Ni (0.1176, 0.6176, 0.5000)  1 Ni 2.44
Ni (0.3824, 0.1176, 0.5000)  1 Ni 2.44
Ni (0.6176, 0.8824, 0.5000)  1 Ni 2.44
Ni (0.8824, 0.3824, 0.5000)  1 Ni 2.44
Ag (0.0000, 0.0000, 0.5000)  4 Ni 2.93, 8 Y 3.26
Ag (0.5000, 0.5000, 0.5000)  4 Ni 2.93, 8 Y 3.26

* polymorph energy (0 for the lowest one): 11.5 meV per atom
* calculated total energy: -5.865 eV per atom
* calculated formation energy: -397 meV per atom